Crystalline CaMg6CrO8 at its relaxed geometry. Source: Alexandria via LeMat-Bulk, functional PBE with a Hubbard U.

Summary:
- E_tot (eV/atom) = -6.179
- total moment (μB/cell) = 3.97

CIF file:
```
data_CaMg6CrO8
_chemical_formula_sum 'Ca1 Mg6 Cr1 O8'
_symmetry_space_group_name_H-M 'P 1'
_symmetry_Int_Tables_number 1
_symmetry_space_group_name_Hall 'P 1'
_cell_length_a 4.427
_cell_length_b 4.427
_cell_length_c 8.607
_cell_angle_alpha 90.00
_cell_angle_beta 90.00
_cell_angle_gamma 90.00
loop_
_atom_site_label
_atom_site_fract_x
_atom_site_fract_y
_atom_site_fract_z
Ca1 0.000 0.000 0.000
Mg1 0.000 0.500 0.257
Mg2 0.000 0.500 0.743
Mg3 0.500 0.000 0.257
Mg4 0.500 0.000 0.743
Mg5 0.500 0.500 0.000
Mg6 0.500 0.500 0.500
Cr1 0.000 0.000 0.500
O1 0.000 0.000 0.262
O2 0.000 0.000 0.738
O3 0.000 0.500 0.000
O4 0.000 0.500 0.500
O5 0.500 0.000 0.000
O6 0.500 0.000 0.500
O7 0.500 0.500 0.251
O8 0.500 0.500 0.749
```